(1)
Material: La8Ga3I4Cl
Method: DFT, GGA-PBE
State: optimized geometry

Properties
* raw formation energy: -0.96 eV per atom
* DOS(E_F): 11.06 states/eV/cell

Geometry as POSCAR:
```
La8Ga3I4Cl
1.0
8.881 0.000 0.000
0.000 9.270 0.270
-4.440 -4.437 6.282
La Ga I Cl
8 3 4 1
direct
0.238 0.709 0.971
0.238 0.709 0.476
0.263 0.289 0.526
0.732 0.709 0.971
0.268 0.291 0.029
0.737 0.711 0.474
0.762 0.291 0.524
0.762 0.291 0.029
0.500 0.500 0.000
0.500 0.500 0.500
0.000 0.500 0.500
0.500 0.000 0.000
0.500 0.000 0.500
0.000 0.000 0.000
0.000 0.000 0.500
0.000 0.500 0.000
```

=====

(2)
Material: FeP2PbS
Method: DFT, GGA-PBE
State: optimized geometry

Properties
* raw formation energy: 0.25 eV per atom
* DOS(E_F): 4.19 states/eV/cell

Geometry as POSCAR:
```
FeP2PbS
1.0
4.202 0.000 0.000
0.000 4.202 0.000
0.000 0.000 5.127
Pb P S Fe
1 2 1 1
direct
0.500 0.500 0.500
0.000 0.500 0.000
0.500 0.000 0.000
0.000 0.000 0.500
0.000 0.000 0.000
```

=====

(3)
Material: AlIn2Sb
Method: DFT, GGA-PBE
State: optimized geometry

Properties
* raw formation energy: 0.25 eV per atom
* DOS(E_F): 4.66 states/eV/cell

Geometry as POSCAR:
```
AlIn2Sb
1.0
6.745 0.000 0.000
0.000 6.745 0.000
3.372 3.372 5.987
Sb Al In
2 2 4
direct
0.000 0.000 0.000
0.750 0.250 0.500
0.500 0.500 0.000
0.250 0.750 0.500
0.610 0.125 0.250
0.140 0.625 0.250
0.375 0.390 0.750
0.875 0.860 0.750
```

=====

(4)
Material: Dy5Pd4Rh
Method: DFT, GGA-PBE
State: optimized geometry

Properties
* energy of formation: -8.8 eV/f.u.
* DOS(E_F): 6.88 states/eV/cell

Geometry as POSCAR:
```
Dy5Pd4Rh
1.0
-3.415 -0.303 0.444
0.524 -2.520 2.309
0.626 12.083 13.045
Dy Pd Rh
5 4 1
direct
0.500 0.500 0.094
0.500 0.500 0.298
0.500 0.500 0.500
0.500 0.500 0.702
0.500 0.500 0.906
0.000 0.000 0.198
0.000 0.000 0.399
0.000 0.000 0.601
0.000 0.000 0.802
0.000 0.000 0.000
```

=====

(5)
Material: Li9AgPd2
Method: DFT, GGA-PBE
State: optimized geometry

Properties
* energy of formation: -2.7 eV/f.u.
* DOS(E_F): 2.89 states/eV/cell

Geometry as POSCAR:
```
Li9AgPd2
1.0
-0.161 -3.884 -0.614
0.196 -0.622 3.882
-11.899 0.390 0.663
Li Ag Pd
9 1 2
direct
0.500 0.500 0.000
0.500 0.500 0.339
0.500 0.500 0.661
0.500 0.000 0.178
0.500 0.000 0.500
0.500 0.000 0.822
0.000 0.500 0.178
0.000 0.500 0.500
0.000 0.500 0.822
0.000 0.000 0.000
0.000 0.000 0.340
0.000 0.000 0.660
```

=====

(6)
Material: Mn2NbSe
Method: DFT, GGA-PBE
State: optimized geometry

Properties
* raw formation energy: 0.27 eV per atom
* DOS(E_F): 8.32 states/eV/cell

Geometry as POSCAR:
```
Mn2NbSe
1.0
7.101 0.000 0.000
0.000 7.101 0.000
3.551 3.551 2.609
Nb Mn Se
2 4 2
direct
0.000 0.000 0.000
0.750 0.250 0.500
0.600 0.125 0.250
0.150 0.625 0.250
0.375 0.400 0.750
0.875 0.850 0.750
0.500 0.500 0.000
0.250 0.750 0.500
```

=====

(7)
Material: PaAlIr
Method: DFT, GGA-PBE
State: optimized geometry

Properties
* energy of formation: -1.8 eV/f.u.
* DOS(E_F): 3.63 states/eV/cell

Geometry as POSCAR:
```
PaAlIr
1.0
3.101 0.000 0.000
0.000 3.101 0.000
-1.550 -1.550 5.769
Pa Al Ir
1 1 1
direct
0.008 0.008 0.016
0.308 0.308 0.615
0.684 0.684 0.369
```

=====

(8)
Material: BaZn3Pt
Method: DFT, GGA-PBE
State: optimized geometry

Properties
* energy of formation: -1.8 eV/f.u.
* DOS(E_F): 5.12 states/eV/cell

Geometry as POSCAR:
```
BaZn3Pt
1.0
-5.954 -0.286 3.341
-0.063 0.207 6.829
-2.359 5.559 3.197
Zn Ba Pt
6 2 2
direct
0.555 0.159 0.555
0.159 0.555 0.555
0.445 0.445 0.841
0.841 0.445 0.445
0.445 0.841 0.445
0.555 0.555 0.159
0.103 0.103 0.103
0.897 0.897 0.897
0.297 0.297 0.297
0.703 0.703 0.703
```